First-principles (GGA-PBEsol) data for an optimized crystal structure of SrMgVP2O8, as listed in Alexandria.

* M_tot: 0.23 μB per atom
* V: 309.9 Å³/cell
* formation energy from raw total energies: -2513 meV per atom

Unit cell a=5.4973 b=6.8316 c=9.2550 alpha=111.26 beta=100.57 gamma=98.26
Element x y z (fractional)
Sr 0.2447 0.1992 0.4462
Sr 0.7553 0.8008 0.5538
Mg 0.4966 0.3965 0.1591
Mg 0.5034 0.6035 0.8409
V 0.1515 0.8552 0.0630
V 0.8485 0.1448 0.9370
P 0.1144 0.5745 0.2630
P 0.3381 0.0263 0.8015
P 0.6619 0.9737 0.1985
P 0.8856 0.4255 0.7370
O 0.1153 0.9538 0.8675
O 0.1254 0.4109 0.0962
O 0.1458 0.4742 0.7010
O 0.1739 0.8059 0.2710
O 0.2371 0.0075 0.6320
O 0.3371 0.5438 0.3778
O 0.4659 0.1210 0.1984
O 0.4964 0.2571 0.9239
O 0.5036 0.7429 0.0761
O 0.5341 0.8790 0.8016
O 0.6629 0.4562 0.6222
O 0.7629 0.9925 0.3680
O 0.8261 0.1941 0.7290
O 0.8542 0.5258 0.2990
O 0.8746 0.5891 0.9038
O 0.8847 0.0462 0.1325

First-principles (GGA-PBEsol) data for an optimized crystal structure of MgTePO2, as listed in Alexandria.

* M_tot: 0.40 μB per atom
* V: 80.4 Å³/cell
* formation energy from raw total energies: -222 meV per atom
* density of states at the Fermi level: 3.21 states/eV/f.u.

Unit cell a=3.8560 b=3.8560 c=5.4057 alpha=90.00 beta=90.00 gamma=90.00
Element x y z (fractional)
Mg 0.0000 0.0000 0.0000
Te 0.5000 0.5000 0.5000
P 0.0000 0.0000 0.5000
O 0.0000 0.5000 0.0000
O 0.5000 0.0000 0.0000

Question: Which of these has the highest M_tot?
Answer: MgTePO2

Question: The lowest M_tot belongs to which entry?
Answer: SrMgVP2O8